Record 1
TlCo2Hg: relaxed, PBE.

The space group is Fm-3m (No. 225) and the conventional cell measures 6.3659, 6.3659 and 6.3659 Å, with angles of 90.00, 90.00 and 90.00 degrees. The distinct sites, in fractional coordinates, are Tl at (0.0000, 0.0000, 0.0000), Co at (0.2500, 0.2500, 0.2500) and Hg at (0.0000, 0.0000, 0.5000).

For the density of states at the Fermi level, the calculation gives 4.90 states/eV/f.u. The calculation puts the total energy at -3.65 eV/atom. The formation enthalpy at 0 K comes out at 0.5723 eV per atom.



Record 2
Ho4Al12Au: relaxed, PBE.

The space group is Im-3m (No. 229) and the conventional cell measures 8.6698, 8.6698 and 8.6698 Å, with angles of 90.00, 90.00 and 90.00 degrees. The distinct sites, in fractional coordinates, are Ho at (0.2500, 0.2500, 0.2500), Al at (0.0000, 0.0000, 0.3005), Al at (0.0000, 0.2500, 0.5000) and Au at (0.0000, 0.0000, 0.0000).

For the density of states at the Fermi level, the calculation gives 3.27 states/eV/f.u. The calculation puts the total energy at -4.38 eV/atom. The formation enthalpy at 0 K comes out at -0.4728 eV per atom.